1.
A plane-wave DFT calculation with PBE-GGA was carried out for an optimized crystal structure of Co2Hg.

```
data_Co2Hg
_cell_length_a 2.8042
_cell_length_b 2.8042
_cell_length_c 6.4860
_cell_angle_alpha 90.00
_cell_angle_beta 90.00
_cell_angle_gamma 120.00
_space_group_name_H-M_alt 'P -3 m 1'
_space_group_IT_number 164
_space_group_name_Hall '-P 3 2"'
loop_
_atom_site_label
_atom_site_type_symbol
_atom_site_fract_x
_atom_site_fract_y
_atom_site_fract_z
Co1 Co 0.3333 0.6667 0.1363
Hg1 Hg 0.0000 0.0000 0.5000
```

Uncorrected energy (eV per atom): -4.3672
Calculated formation energy (meV/atom): 471



2.
A plane-wave DFT calculation with PBE-GGA was carried out for an optimized crystal structure of Pr6P2S3Br.

```
data_Pr6P2S3Br
_cell_length_a 18.148
_cell_length_b 4.165
_cell_length_c 8.394
_cell_angle_alpha 90.00
_cell_angle_beta 102.63
_cell_angle_gamma 90.00
_space_group_name_H-M_alt 'C 1 2/m 1'
_space_group_IT_number 12
loop_
_space_group_symop_operation_xyz
'x,y,z'
'-x,-y,-z'
'-x,y,-z'
'x,-y,z'
'x+1/2,y+1/2,z'
'-x+1/2,-y+1/2,-z'
'-x+1/2,y+1/2,-z'
'x+1/2,-y+1/2,z'
loop_
_atom_site_label
_atom_site_type_symbol
_atom_site_fract_x
_atom_site_fract_y
_atom_site_fract_z
Pr1 Pr 0.004 0.000 0.280
Pr2 Pr 0.169 0.500 0.580
Pr3 Pr 0.178 0.500 0.098
P1 P 0.166 0.000 0.332
S1 S 0.000 0.500 0.500
S2 S 0.161 0.000 0.835
Br1 Br 0.000 0.500 0.000
```

Uncorrected energy (eV per atom): -6.2249
Raw formation energy (eV/atom): -1.76